Computed, not measured: a relaxed Li9TiMn3P6O24 crystal at the PBE+U level of DFT.

a = 8.598 Å, b = 9.273 Å, c = 8.664 Å
α = 118.24°, β = 59.39°, γ = 117.19°
Each line ends with the local moment (μB).
Sites, in units of the cell vectors:
1 Li 0.941 0.860 0.254  0.00
2 Li 0.261 0.830 0.645  0.00
3 Li 0.783 0.950 0.971  0.00
4 Li 0.420 0.407 0.244  0.00
5 Li 0.150 0.356 0.768  0.00
6 Li 0.658 0.340 0.356  0.00
7 Li 0.533 0.625 0.870  0.00
8 Li 0.346 0.103 0.045  0.00
9 Li 0.791 0.329 0.522  0.00
10 Ti 0.656 0.944 0.633  0.90
11 Mn 0.132 0.421 0.147  4.68
12 Mn 0.323 0.002 0.360  4.66
13 Mn 0.869 0.561 0.849  4.66
14 P 0.065 0.235 0.438  0.01
15 P 0.556 0.749 0.239  0.01
16 P 0.268 0.745 0.934  0.01
17 P 0.767 0.243 0.008  0.01
18 P 0.449 0.235 0.738  0.01
19 P 0.922 0.716 0.538  0.01
20 O 0.229 0.897 0.124  0.02
21 O 0.237 0.584 0.969  0.01
22 O 0.893 0.523 0.412  0.01
23 O 0.134 0.813 0.500  0.02
24 O 0.176 0.247 0.231  0.01
25 O 0.545 0.875 0.177  0.01
26 O 0.144 0.723 0.839  0.02
27 O 0.406 0.576 0.198  0.01
28 O 0.191 0.207 0.494  0.01
29 O 0.518 0.817 0.455  -0.01
30 O 0.757 0.728 0.130  0.02
31 O 0.478 0.785 0.797  0.01
32 O 0.565 0.260 0.149  0.01
33 O 0.252 0.261 0.850  0.01
34 O 0.509 0.193 0.520  0.01
35 O 0.840 0.798 0.487  0.00
36 O 0.604 0.401 0.790  0.02
37 O 0.853 0.224 0.115  0.01
38 O 0.449 0.085 0.776  0.00
39 O 0.821 0.727 0.751  0.02
40 O 0.877 0.088 0.444  0.01
41 O 0.017 0.405 0.569  0.02
42 O 0.892 0.396 0.935  0.02
43 O 0.756 0.076 0.839  -0.01

Properties
**Calculated density**: 2795 kg/m3
**Density of states at the Fermi level**: 2.43 states/eV/cell
**Uncorrected energy**: -0.2537 hartree per atom